(1)
A plane-wave DFT calculation with PBE-GGA was carried out for crystalline Mg4ZrBe at its relaxed geometry.

The space group is F-43m (No. 216) and the conventional cell measures 7.964, 7.964 and 7.964 Å, with angles of 90.00, 90.00 and 90.00 degrees. Symmetry generates all atoms from Mg at (0.125, 0.125, 0.125), Zr at (0.250, 0.250, 0.750) and Be at (0.000, 0.000, 0.500).

The energy of formation is 0.525 eV/atom. The calculation puts the theoretical density at 2.596 Mg/m³.

---

(2)
A plane-wave DFT calculation with PBE-GGA was carried out for crystalline MgZr2Be at its relaxed geometry.

The space group is I-42d (No. 122) and the conventional cell measures 7.605, 7.605 and 5.505 Å, with angles of 90.00, 90.00 and 90.00 degrees. Symmetry generates all atoms from Mg at (0.000, 0.000, 0.000), Zr at (0.210, 0.250, 0.625) and Be at (0.000, 0.000, 0.500).

The energy of formation is 0.397 eV/atom. As for the relative energy among the computed polymorphs: 397 meV per atom. The calculation puts the theoretical density at 4.501 Mg/m³.

---

(3)
A plane-wave DFT calculation with PBE-GGA was carried out for crystalline MgZr2Be at its relaxed geometry.

The space group is P4mm (No. 99) and the conventional cell measures 3.082, 3.082 and 8.110 Å, with angles of 90.00, 90.00 and 90.00 degrees. Symmetry generates all atoms from Mg at (0.000, 0.000, 0.000), Zr at (0.000, 0.000, 0.593), Zr at (0.500, 0.500, 0.303) and Be at (0.500, 0.500, 0.804).

The energy of formation is 0.066 eV/atom. As for the relative energy among the computed polymorphs: 66 meV per atom. The calculation puts the theoretical density at 4.651 Mg/m³.

---

(4)
A plane-wave DFT calculation with PBE-GGA was carried out for crystalline MgZr2Be at its relaxed geometry.

The space group is Amm2 (No. 38) and the conventional cell measures 4.223, 3.228 and 11.412 Å, with angles of 90.00, 90.00 and 90.00 degrees. Symmetry generates all atoms from Mg at (0.000, 0.000, 0.000), Zr at (0.000, 0.000, 0.275), Zr at (0.500, 0.000, 0.624) and Be at (0.500, 0.000, 0.867).

The energy of formation is 0.148 eV/atom. As for the relative energy among the computed polymorphs: 148 meV per atom. The calculation puts the theoretical density at 4.606 Mg/m³.

---

(5)
A plane-wave DFT calculation with PBE-GGA was carried out for crystalline MgZr2Be at its relaxed geometry.

The space group is Fm-3m (No. 225) and the conventional cell measures 6.688, 6.688 and 6.688 Å, with angles of 90.00, 90.00 and 90.00 degrees. Symmetry generates all atoms from Mg at (0.000, 0.000, 0.000), Zr at (0.250, 0.250, 0.250) and Be at (0.000, 0.000, 0.500).

The energy of formation is 0.100 eV/atom. As for the relative energy among the computed polymorphs: 101 meV per atom. The calculation puts the theoretical density at 4.790 Mg/m³.

---

(6)
A plane-wave DFT calculation with PBE-GGA was carried out for crystalline MgZr2Be at its relaxed geometry.

The space group is F-43m (No. 216) and the conventional cell measures 6.849, 6.849 and 6.849 Å, with angles of 90.00, 90.00 and 90.00 degrees. Symmetry generates all atoms from Mg at (0.000, 0.000, 0.000), Zr at (0.000, 0.000, 0.500), Zr at (0.250, 0.250, 0.750) and Be at (0.250, 0.250, 0.250).

The energy of formation is 0.469 eV/atom. As for the relative energy among the computed polymorphs: 469 meV per atom. The calculation puts the theoretical density at 4.460 Mg/m³.

---

(7)
A plane-wave DFT calculation with PBE-GGA was carried out for crystalline MgZr2Be2 at its relaxed geometry.

The space group is P4/mbm (No. 127) and the conventional cell measures 6.695, 6.695 and 3.789 Å, with angles of 90.00, 90.00 and 90.00 degrees. Symmetry generates all atoms from Mg at (0.000, 0.000, 0.000), Zr at (0.169, 0.331, 0.500) and Be at (0.118, 0.618, 0.000).

The energy of formation is -0.063 eV/atom. The calculation puts the theoretical density at 4.395 Mg/m³.

---

(8)
A plane-wave DFT calculation with PBE-GGA was carried out for crystalline MgZr2Be at its relaxed geometry.

The space group is Immm (No. 71) and the conventional cell measures 3.323, 4.777 and 9.890 Å, with angles of 90.00, 90.00 and 90.00 degrees. Symmetry generates all atoms from Mg at (0.000, 0.000, 0.000), Zr at (0.000, 0.500, 0.213) and Be at (0.000, 0.000, 0.500).

The energy of formation is 0.149 eV/atom. As for the relative energy among the computed polymorphs: 149 meV per atom. The calculation puts the theoretical density at 4.564 Mg/m³.

---

(9)
A plane-wave DFT calculation with PBE-GGA was carried out for crystalline Mg2ZrBe2 at its relaxed geometry.

The space group is P4/mbm (No. 127) and the conventional cell measures 7.305, 7.305 and 3.114 Å, with angles of 90.00, 90.00 and 90.00 degrees. Symmetry generates all atoms from Mg at (0.176, 0.324, 0.000), Zr at (0.000, 0.000, 0.500) and Be at (0.116, 0.616, 0.500).

The energy of formation is 0.271 eV/atom. The calculation puts the theoretical density at 3.155 Mg/m³.

---

(10)
A plane-wave DFT calculation with PBE-GGA was carried out for crystalline MgZr2Be at its relaxed geometry.

The space group is Cmmm (No. 65) and the conventional cell measures 6.628, 6.644 and 3.411 Å, with angles of 90.00, 90.00 and 90.00 degrees. Symmetry generates all atoms from Mg at (0.000, 0.000, 0.000), Zr at (0.250, 0.250, 0.500) and Be at (0.000, 0.500, 0.000).

The energy of formation is 0.112 eV/atom. As for the relative energy among the computed polymorphs: 112 meV per atom. The calculation puts the theoretical density at 4.771 Mg/m³.

---

(11)
A plane-wave DFT calculation with PBE-GGA was carried out for crystalline MnBe at its relaxed geometry.

The space group is Cmcm (No. 63) and the conventional cell measures 2.453, 8.642 and 3.540 Å, with angles of 90.00, 90.00 and 90.00 degrees. Symmetry generates all atoms from Mn at (0.000, 0.173, 0.250) and Be at (0.000, 0.437, 0.250).

The energy of formation is -0.055 eV/atom. The calculation puts the theoretical density at 5.661 Mg/m³.

---

(12)
A plane-wave DFT calculation with PBE-GGA was carried out for crystalline MnBe at its relaxed geometry.

The space group is Cmmm (No. 65) and the conventional cell measures 2.791, 3.681 and 3.669 Å, with angles of 90.00, 90.00 and 90.00 degrees. Symmetry generates all atoms from Mn at (0.000, 0.000, 0.000) and Be at (0.000, 0.500, 0.500).

The energy of formation is -0.024 eV/atom. The calculation puts the theoretical density at 5.634 Mg/m³.

---

theoretical density of number 2 (MgZr2Be)?
4.501 Mg/m³

---

Repeat the twelfth record exactly.
A plane-wave DFT calculation with PBE-GGA was carried out for crystalline MnBe at its relaxed geometry.

The space group is Cmmm (No. 65) and the conventional cell measures 2.791, 3.681 and 3.669 Å, with angles of 90.00, 90.00 and 90.00 degrees. Symmetry generates all atoms from Mn at (0.000, 0.000, 0.000) and Be at (0.000, 0.500, 0.500).

The energy of formation is -0.024 eV/atom. The calculation puts the theoretical density at 5.634 Mg/m³.

---

The highest energy of formation belongs to which entry?
Mg4ZrBe

---

What is the formula in the eighth record?
MgZr2Be